# 1
## Ga3GeRh4 (GGA-PBE)

Data for a relaxed Ga3GeRh4 crystal.

a b c (Å): 4.3476 4.3476 6.0050
angles (deg): 90.00 90.00 90.00
With the nearest neighbours (Å) after each atom.
Space group P4/mmm (No. 123)
One atom of each set of equivalent atoms:
Ga 0.0000 0.0000 0.0000 x1  8 Rh 2.65
Ga 0.0000 0.0000 0.5000 x1  8 Rh 2.64
Ga 0.5000 0.5000 0.0000 x1  8 Rh 2.65
Ge 0.5000 0.5000 0.5000 x1  8 Rh 2.64
Rh 0.0000 0.5000 0.2519 x4  2 Ge 2.64, 6 Ga 2.64-2.65

Total magnetic moment in Bohr magnetons per cell: 0.00

# 2
## Ga2GeRh2 (GGA-PBE)

Data for a relaxed Ga2GeRh2 crystal.

a b c (Å): 7.3593 7.3593 2.8896
angles (deg): 90.00 90.00 90.00
With the nearest neighbours (Å) after each atom.
Space group P4/mbm (No. 127)
One atom of each set of equivalent atoms:
Ga 0.1385 0.3615 0.0000 x4  6 Rh 2.58-2.61, 2 Ge 2.85, 3 Ga 2.88-2.89
Ge 0.0000 0.0000 0.0000 x2  4 Ga 2.85, 2 Ge 2.89, 8 Rh 3.13
Rh 0.1558 0.6558 0.5000 x4  6 Ga 2.58-2.61, 2 Rh 2.89

Relative energy among the computed polymorphs in eV per atom: 0.163
Total magnetic moment in Bohr magnetons per cell: 0.00

# 3
## GaGe3Rh4 (GGA-PBE)

Data for a relaxed GaGe3Rh4 crystal.

a b c (Å): 6.8998 6.8998 8.5620
angles (deg): 90.00 90.00 120.00
With the nearest neighbours (Å) after each atom.
Space group R3 (No. 146, hexagonal axes)
One atom of each set of equivalent atoms:
Ga 0.0000 0.0000 0.0000 x3  7 Rh 2.54-2.76
Ge 0.1028 0.7151 0.2143 x9  5 Rh 2.49-2.76
Rh 0.0000 0.0000 0.2968 x3  6 Ge 2.50-2.79, 1 Ga 2.54
Rh 0.0092 0.2564 0.7801 x9  4 Ge 2.49-2.76, 2 Ga 2.56-2.76

Total magnetic moment in Bohr magnetons per cell: 0.00

# 4
## Ga3GeRh (GGA-PBE)

Data for a relaxed Ga3GeRh crystal.

a b c (Å): 4.7835 4.7835 4.7835
angles (deg): 90.00 90.00 90.00
With the nearest neighbours (Å) after each atom.
Space group Pm-3m (No. 221)
One atom of each set of equivalent atoms:
Ga 0.0000 0.0000 0.5000 x3  2 Ge 2.39
Ge 0.0000 0.0000 0.0000 x1  6 Ga 2.39
Rh 0.5000 0.5000 0.5000 x1  12 Ga 3.38

Relative energy among the computed polymorphs in eV per atom: 0.840
Total magnetic moment in Bohr magnetons per cell: 0.00

# 5
## Ga2GeRh2 (GGA-PBE)

Data for a relaxed Ga2GeRh2 crystal.

a b c (Å): 4.1978 4.1978 5.2691
angles (deg): 90.00 90.00 120.00
With the nearest neighbours (Å) after each atom.
Space group P-3m1 (No. 164)
One atom of each set of equivalent atoms:
Ga 0.3333 0.6667 0.3686 x2  5 Rh 2.54-2.73, 3 Ga 2.79
Ge 0.0000 0.0000 0.0000 x1  6 Rh 2.55
Rh 0.3333 0.6667 0.8504 x2  5 Ga 2.54-2.73, 3 Ge 2.55

Relative energy among the computed polymorphs in eV per atom: 0.000
Total magnetic moment in Bohr magnetons per cell: 0.00

# 6
## Ga3GeRh6 (GGA-PBE)

Data for a relaxed Ga3GeRh6 crystal.

a b c (Å): 7.4872 4.3105 9.2836
angles (deg): 90.00 107.68 90.00
With the nearest neighbours (Å) after each atom.
Space group P2_1/m (No. 11)
One atom of each set of equivalent atoms:
Ga 0.0315 0.2500 0.3870 x2  8 Rh 2.53-2.73
Ga 0.1251 0.7500 0.2059 x2  6 Rh 2.43-2.66
Ga 0.2877 0.2500 0.9807 x2  9 Rh 2.55-2.80
Ge 0.4445 0.2500 0.6032 x2  7 Rh 2.42-2.62
Rh 0.0383 0.7500 0.9055 x2  6 Ga 2.54-2.80, 1 Rh 2.77
Rh 0.1515 0.2500 0.6841 x2  1 Ge 2.53, 5 Ga 2.53-2.63, 2 Rh 2.76
Rh 0.2520 0.7500 0.5025 x2  3 Ge 2.60-2.73, 4 Ga 2.62-2.73, 1 Rh 2.85
Rh 0.3499 0.2500 0.3218 x2  3 Ge 2.49-2.62, 3 Ga 2.63-2.75
Rh 0.3649 0.7500 0.8244 x2  3 Ga 2.68-2.76, 8 Rh 2.71-2.86
Rh 0.4052 0.7500 0.1262 x2  1 Ge 2.42, 3 Ga 2.43-2.55, 2 Rh 2.71

Total magnetic moment in Bohr magnetons per cell: 0.00

Uncorrected energy / eV per cell: -47.82 -54.06 -152.12 -17.07 -27.84 -125.58
Calculated formation energy / meV per atom: -589 -331 -553 797 -494 -498